Model i:
This record from the Alexandria database describes Rb3Sn4Sb4 after structural relaxation. The functional is PBE.

Unit cell a=5.6939 b=8.2862 c=9.8052 alpha=115.00 beta=106.88 gamma=90.00
With the nearest neighbours (Å) after each atom.
Positions (direct):
Sb  0.5000  0.1816  0.0000  1 Sb 3.01, 2 Sn 3.05
Sb  0.2200  0.7200  0.4399  6 Sn 3.17-3.36
Sb  0.5000  0.8184  0.0000  1 Sb 3.01, 2 Sn 3.05
Sb  0.7800  0.2800  0.5601  6 Sn 3.17-3.36
Rb  0.1199  0.1199  0.2399  6 Sb 3.80-3.92, 6 Sn 3.87-3.93, 1 Rb 4.04
Rb  0.8801  0.8801  0.7601  6 Sb 3.80-3.92, 6 Sn 3.87-3.93, 1 Rb 4.04
Rb  0.0000  0.5000  0.0000  6 Sb 3.70-3.88
Sn  0.3301  0.1401  0.6603  4 Sb 3.05-3.36, 1 Sn 3.15
Sn  0.6699  0.4798  0.3397  4 Sb 3.05-3.36, 1 Sn 3.15
Sn  0.6699  0.8599  0.3397  4 Sb 3.05-3.36, 1 Sn 3.15
Sn  0.3301  0.5202  0.6603  4 Sb 3.05-3.36, 1 Sn 3.15

Output
- Size of the total moment: 0.000 μB/atom

Model ii:
This record from the Alexandria database describes Rb3Sn4Sb4 after structural relaxation. The functional is PBE.

Unit cell a=4.5727 b=5.9173 c=16.6344 alpha=100.25 beta=97.90 gamma=90.00
With the nearest neighbours (Å) after each atom.
Positions (direct):
Sn  0.7952  0.2952  0.5905  4 Sb 2.96-3.14
Sn  0.4544  0.4544  0.9087  2 Sb 2.92, 1 Sn 2.96
Sn  0.2048  0.7048  0.4095  4 Sb 2.96-3.14
Sn  0.5456  0.5456  0.0913  2 Sb 2.92, 1 Sn 2.96
Rb  0.6414  0.1414  0.2827  6 Sb 3.86-3.95, 6 Sn 4.27-4.29
Rb  0.0000  0.0000  0.0000  8 Sn 4.02, 4 Sb 4.43
Rb  0.3586  0.8586  0.7173  6 Sb 3.86-3.95, 6 Sn 4.27-4.29
Sb  0.2374  0.2374  0.4748  4 Sn 2.96-3.14
Sb  0.1017  0.6017  0.2035  2 Sn 2.92
Sb  0.8983  0.3983  0.7965  2 Sn 2.92
Sb  0.7626  0.7626  0.5252  4 Sn 2.96-3.14

Output
- Size of the total moment: 0.000 μB/atom

Last place for stability: model i

Model i:
This record from the Alexandria database describes Rb2Sn2Sb after structural relaxation. The functional is PBE.

Unit cell a=8.0221 b=8.0221 c=6.0381 alpha=90.00 beta=90.00 gamma=90.00
With the nearest neighbours (Å) after each atom.
Positions (direct):
Sb  0.5000  0.5000  0.0000  4 Sn 3.16
Sb  0.0000  0.0000  0.0000  4 Sn 3.16
Sn  0.3731  0.8731  0.0000  1 Sn 2.88, 2 Sb 3.16
Sn  0.6269  0.1269  0.0000  1 Sn 2.88, 2 Sb 3.16
Sn  0.1269  0.3731  0.0000  1 Sn 2.88, 2 Sb 3.16
Sn  0.8731  0.6269  0.0000  1 Sn 2.88, 2 Sb 3.16
Rb  0.6854  0.8146  0.5000  6 Sn 3.69-3.95
Rb  0.1854  0.6854  0.5000  6 Sn 3.69-3.95
Rb  0.3146  0.1854  0.5000  6 Sn 3.69-3.95
Rb  0.8146  0.3146  0.5000  6 Sn 3.69-3.95

Output
- Size of the total moment: 0.000 μB/atom

Model ii:
This record from the Alexandria database describes Rb2Sn2Sb after structural relaxation. The functional is PBE.

Unit cell a=5.3644 b=6.2016 c=7.2433 alpha=115.35 beta=111.73 gamma=90.00
With the nearest neighbours (Å) after each atom.
Positions (direct):
Rb  0.2060  0.7061  0.4121  6 Sn 3.88-3.92, 2 Sb 3.96, 4 Rb 4.23
Rb  0.7940  0.2939  0.5879  6 Sn 3.88-3.92, 2 Sb 3.96, 4 Rb 4.23
Sn  0.5000  0.7352  0.0000  1 Sn 2.92, 2 Sb 3.14
Sn  0.5000  0.2648  0.0000  1 Sn 2.92, 2 Sb 3.14
Sb  0.0000  0.0000  0.0000  4 Sn 3.14

Output
- Size of the total moment: 0.000 μB/atom

Last place for stability: model i

Model i:
This record from the Alexandria database describes Rb3SnSb2 after structural relaxation. The functional is PBE.

Unit cell a=5.7615 b=10.1128 c=12.7032 alpha=51.48 beta=76.89 gamma=73.45
With the nearest neighbours (Å) after each atom.
Positions (direct):
Sb  0.8839  0.4053  0.8270  2 Sn 3.26, 2 Rb 3.43-3.44
Sb  0.1161  0.5947  0.1730  2 Sn 3.26, 2 Rb 3.43-3.44
Sb  0.5909  0.2257  0.5925  2 Sn 2.99-3.00
Sb  0.4091  0.7743  0.4075  2 Sn 2.99-3.00
Sn  0.4329  0.4466  0.6875  4 Sb 2.99-3.26
Sn  0.5671  0.5534  0.3125  4 Sb 2.99-3.26
Rb  0.8091  0.8293  0.5525  3 Sb 3.43-3.60
Rb  0.0628  0.0623  0.8122  3 Sb 3.44-3.61
Rb  0.1909  0.1707  0.4475  3 Sb 3.43-3.60
Rb  0.9372  0.9377  0.1878  3 Sb 3.44-3.61
Rb  0.3198  0.3112  0.0492  3 Sb 3.70-3.86, 1 Sn 3.84, 2 Rb 4.11
Rb  0.6802  0.6888  0.9508  3 Sb 3.70-3.86, 1 Sn 3.84, 2 Rb 4.11

Output
- Size of the total moment: 0.000 μB/atom

Model ii:
This record from the Alexandria database describes Rb3SnSb2 after structural relaxation. The functional is PBE.

Unit cell a=5.3886 b=14.8144 c=14.0586 alpha=90.00 beta=90.00 gamma=90.00
With the nearest neighbours (Å) after each atom.
Positions (direct):
Rb  0.2500  0.3902  0.0696  5 Sb 3.80-4.08, 1 Sn 3.91
Rb  0.7500  0.5624  0.6276  3 Sb 3.74-3.84, 3 Sn 3.92-3.98
Rb  0.7500  0.3069  0.8290  4 Sb 3.71-3.79, 2 Sn 3.88
Rb  0.2500  0.1098  0.5696  5 Sb 3.80-4.08, 1 Sn 3.91
Rb  0.7500  0.6098  0.9304  5 Sb 3.80-4.08, 1 Sn 3.91
Rb  0.2500  0.0624  0.8724  3 Sb 3.74-3.84, 3 Sn 3.92-3.98
Rb  0.7500  0.1931  0.3290  4 Sb 3.71-3.79, 2 Sn 3.88
Rb  0.2500  0.8069  0.6710  4 Sb 3.71-3.79, 2 Sn 3.88
Rb  0.7500  0.9376  0.1276  3 Sb 3.74-3.84, 3 Sn 3.92-3.98
Rb  0.2500  0.4376  0.3724  3 Sb 3.74-3.84, 3 Sn 3.92-3.98
Rb  0.2500  0.6931  0.1710  4 Sb 3.71-3.79, 2 Sn 3.88
Rb  0.7500  0.8902  0.4304  5 Sb 3.80-4.08, 1 Sn 3.91
Sn  0.7500  0.8654  0.8595  3 Sb 2.79-2.98
Sn  0.7500  0.6346  0.3595  3 Sb 2.79-2.98
Sn  0.2500  0.3654  0.6405  3 Sb 2.79-2.98
Sn  0.2500  0.1346  0.1405  3 Sb 2.79-2.98
Sb  0.7500  0.9772  0.6999  1 Sn 2.79
Sb  0.7500  0.1832  0.0653  2 Sn 2.98
Sb  0.7500  0.3168  0.5653  2 Sn 2.98
Sb  0.2500  0.4772  0.8001  1 Sn 2.79
Sb  0.2500  0.8168  0.9347  2 Sn 2.98
Sb  0.2500  0.6832  0.4347  2 Sn 2.98
Sb  0.7500  0.5228  0.1999  1 Sn 2.79
Sb  0.2500  0.0228  0.3001  1 Sn 2.79

Output
- Size of the total moment: 0.000 μB/atom

Last place for stability: model i

Model i:
This record from the Alexandria database describes RbSn4Sb2 after structural relaxation. The functional is PBE.

Unit cell a=4.3624 b=5.6072 c=12.8103 alpha=102.52 beta=106.73 gamma=50.23
With the nearest neighbours (Å) after each atom.
Positions (direct):
Sb  0.7116  0.5379  0.7876  4 Sn 2.96-3.21
Sb  0.2884  0.4621  0.2124  4 Sn 2.96-3.21
Sn  0.4603  0.1184  0.6958  3 Sb 2.96-3.09, 2 Sn 3.15-3.32
Sn  0.8711  0.2897  0.4491  5 Sn 3.01-3.32, 1 Sb 3.21
Sn  0.1289  0.7103  0.5509  5 Sn 3.01-3.32, 1 Sb 3.21
Sn  0.5397  0.8816  0.3042  3 Sb 2.96-3.09, 2 Sn 3.15-3.32
Rb  0.0000  0.0000  0.0000  6 Sb 3.85-3.91, 2 Sn 3.87

Output
- Size of the total moment: 0.000 μB/atom

Model ii:
This record from the Alexandria database describes RbSn4Sb2 after structural relaxation. The functional is PBE.

Unit cell a=4.7523 b=9.9515 c=9.9515 alpha=90.00 beta=90.00 gamma=90.00
With the nearest neighbours (Å) after each atom.
Positions (direct):
Sb  0.5000  0.2759  0.2759  6 Sn 3.17-3.21
Sb  0.0000  0.2241  0.7759  6 Sn 3.17-3.21
Sb  0.0000  0.7759  0.2241  6 Sn 3.17-3.21
Sb  0.5000  0.7241  0.7241  6 Sn 3.17-3.21
Sn  0.5000  0.8452  0.4290  3 Sb 3.17-3.21, 5 Sn 3.38-3.39
Sn  0.0000  0.6548  0.9290  3 Sb 3.17-3.21, 5 Sn 3.38-3.39
Sn  0.5000  0.4290  0.8452  3 Sb 3.17-3.21, 5 Sn 3.38-3.39
Sn  0.0000  0.9290  0.6548  3 Sb 3.17-3.21, 5 Sn 3.38-3.39
Sn  0.0000  0.3452  0.0710  3 Sb 3.17-3.21, 5 Sn 3.38-3.39
Sn  0.5000  0.1548  0.5710  3 Sb 3.17-3.21, 5 Sn 3.38-3.39
Sn  0.5000  0.5710  0.1548  3 Sb 3.17-3.21, 5 Sn 3.38-3.39
Sn  0.0000  0.0710  0.3452  3 Sb 3.17-3.21, 5 Sn 3.38-3.39
Rb  0.5000  0.0000  0.0000  6 Sb 3.88-3.95, 8 Sn 4.24
Rb  0.0000  0.5000  0.5000  6 Sb 3.88-3.95, 8 Sn 4.24

Output
- Size of the total moment: 0.000 μB/atom

Last place for stability: model ii

Model i:
This record from the Alexandria database describes Rb3SrSb after structural relaxation. The functional is PBE.

Unit cell a=7.3537 b=7.3537 c=7.3537 alpha=90.00 beta=90.00 gamma=90.00
With the nearest neighbours (Å) after each atom.
Positions (direct):
Rb  0.0000  0.5000  0.0000  2 Sr 3.68
Rb  0.0000  0.0000  0.5000  2 Sr 3.68
Rb  0.5000  0.0000  0.0000  2 Sr 3.68
Sr  0.0000  0.0000  0.0000  6 Rb 3.68
Sb  0.5000  0.5000  0.5000  12 Rb 5.20

Output
- Size of the total moment: 0.000 μB/atom

Model ii:
This record from the Alexandria database describes Rb3SrSb after structural relaxation. The functional is PBE.

Unit cell a=7.1423 b=7.1423 c=7.1423 alpha=90.00 beta=90.00 gamma=90.00
With the nearest neighbours (Å) after each atom.
Positions (direct):
Rb  0.0000  0.0000  0.5000  2 Sb 3.57
Rb  0.5000  0.0000  0.0000  2 Sb 3.57
Rb  0.0000  0.5000  0.0000  2 Sb 3.57
Sr  0.5000  0.5000  0.5000  12 Rb 5.05
Sb  0.0000  0.0000  0.0000  6 Rb 3.57

Output
- Size of the total moment: 0.000 μB/atom

Last place for stability: model i

Model i:
This record from the Alexandria database describes Rb2SrSb2 after structural relaxation. The functional is PBE.

Unit cell a=4.9966 b=4.9966 c=8.8241 alpha=73.55 beta=73.55 gamma=90.00
With the nearest neighbours (Å) after each atom.
Positions (direct):
Rb  0.2500  0.7500  0.5000  4 Rb 3.53, 4 Sb 3.62
Rb  0.7500  0.2500  0.5000  4 Rb 3.53, 4 Sb 3.62
Sb  0.5883  0.5883  0.8233  1 Sb 2.86
Sb  0.4117  0.4117  0.1767  1 Sb 2.86
Sr  0.0000  0.0000  0.0000  8 Sb 3.81

Output
- Size of the total moment: 0.000 μB/atom

Model ii:
This record from the Alexandria database describes Rb2SrSb2 after structural relaxation. The functional is PBE.

Unit cell a=8.5360 b=8.5360 c=5.9500 alpha=90.00 beta=90.00 gamma=90.00
With the nearest neighbours (Å) after each atom.
Positions (direct):
Sb  0.8774  0.6226  0.0000  1 Sb 2.96
Sb  0.1226  0.3774  0.0000  1 Sb 2.96
Sb  0.6226  0.1226  0.0000  1 Sb 2.96
Sb  0.3774  0.8774  0.0000  1 Sb 2.96
Sr  0.0000  0.0000  0.0000  4 Sb 3.39
Sr  0.5000  0.5000  0.0000  4 Sb 3.39
Rb  0.1612  0.6612  0.5000  6 Sb 3.85-3.96, 1 Rb 3.89
Rb  0.8388  0.3388  0.5000  6 Sb 3.85-3.96, 1 Rb 3.89
Rb  0.6612  0.8388  0.5000  6 Sb 3.85-3.96, 1 Rb 3.89
Rb  0.3388  0.1612  0.5000  6 Sb 3.85-3.96, 1 Rb 3.89

Output
- Size of the total moment: 0.000 μB/atom

Last place for stability: model i